Entry from the Alexandria database: a relaxed CaInIr2 crystal (PBE).

Cell: 3.1333 3.1333 26.4909 Å, 90.00 90.00 120.00°
Space group R-3m (No. 166, hexagonal axes)
Inequivalent atoms, fractional coordinates:
1 Ca 0.0000 0.0000 0.0000 x3
2 In 0.0000 0.0000 0.5000 x3
3 Ir 0.0000 0.0000 0.2455 x6

Summary:
The formation energy from the elements is 0.17 eV/atom.



Entry from the Alexandria database: a relaxed Er4Te3Ru crystal (PBE).

Cell: 8.813 12.224 4.165 Å, 90.00 90.00 90.00°
Space group Cmmm (No. 65)
Inequivalent atoms, fractional coordinates:
1 Er 0.000 0.217 0.000 x4
2 Er 0.214 0.000 0.500 x4
3 Te 0.000 0.500 0.000 x2
4 Te 0.250 0.250 0.500 x4
5 Ru 0.000 0.000 0.000 x2

Summary:
For the formation energy from raw total energies, the calculation gives -23.40 kcal/mol of atoms.



Entry from the Alexandria database: a relaxed TiWC3 crystal (PBE).

Cell: 4.017 4.017 4.017 Å, 90.00 90.00 90.00°
Space group Pm-3m (No. 221)
Inequivalent atoms, fractional coordinates:
1 Ti 0.000 0.000 0.000 x1
2 W 0.500 0.500 0.500 x1
3 C 0.000 0.500 0.500 x3

Summary:
The formation energy from the elements is 1.47 eV/atom. As for the energy above the most stable polymorph in this dataset: 0.000 eV/atom.



Entry from the Alexandria database: a relaxed CdPt2Au7 crystal (PBE).

Cell: 7.481 13.479 4.535 Å, 90.00 90.00 90.00°
Space group Cmmm (No. 65)
Inequivalent atoms, fractional coordinates:
1 Cd 0.000 0.000 0.000 x2
2 Pt 0.000 0.300 0.500 x4
3 Au 0.000 0.203 0.000 x4
4 Au 0.000 0.500 0.500 x2
5 Au 0.184 0.110 0.500 x8

Summary:
The formation energy from the elements is 0.23 eV/atom.



Entry from the Alexandria database: a relaxed PmY2Ag2 crystal (PBE).

Cell: 3.670 27.080 5.334 Å, 90.00 90.00 90.00°
Space group Cmcm (No. 63)
Inequivalent atoms, fractional coordinates:
1 Pm 0.000 0.145 0.250 x4
2 Y 0.000 0.048 0.750 x4
3 Y 0.000 0.234 0.750 x4
4 Ag 0.000 0.358 0.250 x4
5 Ag 0.000 0.455 0.750 x4

Summary:
The formation energy from the elements is -0.23 eV/atom. As for the energy above the most stable polymorph in this dataset: 0.000 eV/atom.



Entry from the Alexandria database: a relaxed PrNdTm crystal (PBE).

Cell: 5.7449 5.7449 3.5274 Å, 90.00 90.00 120.00°
Space group P-6m2 (No. 187)
Inequivalent atoms, fractional coordinates:
1 Pr 0.0000 0.0000 0.0000 x1
2 Nd 0.3333 0.6667 0.5000 x1
3 Tm 0.6667 0.3333 0.5000 x1

Summary:
The formation energy from the elements is 0.07 eV/atom. As for the energy above the most stable polymorph in this dataset: 0.038 eV/atom.



Entry from the Alexandria database: a relaxed TbLuTh2 crystal (PBE).

Cell: 3.4539 3.4539 37.1158 Å, 90.00 90.00 120.00°
Space group R-3m (No. 166, hexagonal axes)
Inequivalent atoms, fractional coordinates:
1 Tb 0.0000 0.0000 0.0000 x3
2 Lu 0.0000 0.0000 0.5000 x3
3 Th 0.0000 0.0000 0.0878 x6

Summary:
The formation energy from the elements is 0.20 eV/atom. As for the energy above the most stable polymorph in this dataset: 0.161 eV/atom.



Entry from the Alexandria database: a relaxed PmURu2 crystal (PBE).

Cell: 3.4487 3.4487 24.5810 Å, 90.00 90.00 120.00°
Space group R-3m (No. 166, hexagonal axes)
Inequivalent atoms, fractional coordinates:
1 Pm 0.0000 0.0000 0.0000 x3
2 U 0.0000 0.0000 0.5000 x3
3 Ru 0.0000 0.0000 0.2358 x6

Summary:
The formation energy from the elements is -0.11 eV/atom. As for the energy above the most stable polymorph in this dataset: 0.161 eV/atom.



Entry from the Alexandria database: a relaxed Zn2PRu crystal (PBE).

Cell: 2.953 2.953 6.815 Å, 90.00 90.00 90.00°
Space group P4mm (No. 99)
Inequivalent atoms, fractional coordinates:
1 Zn 0.000 0.000 0.000 x1
2 Zn 0.500 0.500 0.275 x1
3 P 0.000 0.000 0.558 x1
4 Ru 0.500 0.500 0.726 x1

Summary:
The formation energy from the elements is -0.11 eV/atom.



Entry from the Alexandria database: a relaxed Pr3Sb5Se12 crystal (PBE).

Cell: 17.135 17.135 17.135 Å, 90.00 90.00 90.00°
Space group Ia-3d (No. 230)
Inequivalent atoms, fractional coordinates:
1 Pr 0.000 0.250 0.125 x24
2 Sb 0.000 0.000 0.000 x16
3 Sb 0.000 0.250 0.375 x24
4 Se 0.017 0.067 0.653 x96

Summary:
For the formation energy from raw total energies, the calculation gives -17.01 kcal/mol of atoms.



Entry from the Alexandria database: a relaxed Y3Ni8Ir crystal (PBE).

Cell: 4.9949 4.9949 24.4862 Å, 90.00 90.00 120.00°
Space group R3m (No. 160, hexagonal axes)
Inequivalent atoms, fractional coordinates:
1 Y 0.0000 0.0000 0.0000 x3
2 Y 0.0000 0.0000 0.1308 x3
3 Y 0.0000 0.0000 0.5200 x3
4 Ni 0.0000 0.0000 0.3192 x3
5 Ni 0.0000 0.0000 0.8200 x3
6 Ni 0.1675 0.3350 0.4014 x9
7 Ni 0.1686 0.3373 0.9040 x9
8 Ir 0.0000 0.0000 0.6411 x3

Summary:
The formation energy from the elements is -0.33 eV/atom.



Entry from the Alexandria database: a relaxed CeScGa2 crystal (PBE).

Cell: 3.3341 3.3341 27.6845 Å, 90.00 90.00 120.00°
Space group R-3m (No. 166, hexagonal axes)
Inequivalent atoms, fractional coordinates:
1 Ce 0.0000 0.0000 0.0000 x3
2 Sc 0.0000 0.0000 0.5000 x3
3 Ga 0.0000 0.0000 0.2441 x6

Summary:
The formation energy from the elements is -0.33 eV/atom.